(1)
# Te6Ir2Rh

An optimized crystal structure of Te6Ir2Rh (PBE, Alexandria via LeMat-Bulk).

a = 6.125 Å, b = 6.125 Å, c = 12.582 Å
α = 90.00°, β = 90.00°, γ = 90.00°
Space group P4_2/mnm (No. 136)
One atom of each set of equivalent atoms:
1 Te 0.193 0.193 0.167 x8
2 Te 0.194 0.194 0.500 x4
3 Ir 0.000 0.000 0.334 x4
4 Rh 0.000 0.000 0.000 x2

Properties
The total magnetization comes out at 0.00 μB/f.u. The calculation puts the uncorrected formation energy at -0.0529 eV/atom. For the calculated volume, the calculation gives 26.22 Å³/atom. The value obtained for the total energy is -88.8 eV per cell. The calculated density is 8.82 g/cm³.



(2)
# Th8Te4Ir3Rh

An optimized crystal structure of Th8Te4Ir3Rh (PBE, Alexandria via LeMat-Bulk).

a = 8.4026 Å, b = 8.4026 Å, c = 23.0988 Å
α = 90.00°, β = 90.00°, γ = 120.00°
Space group R-3m (No. 166, hexagonal axes)
One atom of each set of equivalent atoms:
1 Th 0.0000 0.0000 0.2339 x6
2 Th 0.0010 0.5005 0.7658 x18
3 Te 0.0000 0.0000 0.0000 x3
4 Te 0.0000 0.5000 0.0000 x9
5 Ir 0.0000 0.5000 0.5000 x9
6 Rh 0.0000 0.0000 0.5000 x3

Properties
The total magnetization comes out at 0.00 μB/f.u. The calculation puts the uncorrected formation energy at -1.1185 eV/atom. For the calculated volume, the calculation gives 29.42 Å³/atom. The value obtained for the total energy is -371.3 eV per cell. The calculated density is 10.74 g/cm³.



(3)
# Th6TeIr2Rh3

An optimized crystal structure of Th6TeIr2Rh3 (PBE, Alexandria via LeMat-Bulk).

a = 18.156 Å, b = 4.119 Å, c = 8.657 Å
α = 90.00°, β = 103.18°, γ = 90.00°
Space group C2/m (No. 12)
One atom of each set of equivalent atoms:
1 Th 0.007 0.000 0.282 x4
2 Th 0.167 0.500 0.583 x4
3 Th 0.182 0.500 0.099 x4
4 Te 0.000 0.500 0.000 x2
5 Ir 0.169 0.000 0.336 x4
6 Rh 0.000 0.500 0.500 x2
7 Rh 0.161 0.000 0.832 x4

Properties
The total magnetization comes out at 0.00 μB/f.u. The calculation puts the uncorrected formation energy at -0.8974 eV/atom. For the calculated volume, the calculation gives 26.27 Å³/atom. The value obtained for the total energy is -196.4 eV per cell. The calculated density is 11.66 g/cm³.



(4)
# Th6Te3IrRh2

An optimized crystal structure of Th6Te3IrRh2 (PBE, Alexandria via LeMat-Bulk).

a = 7.263 Å, b = 12.586 Å, c = 8.069 Å
α = 90.00°, β = 107.46°, γ = 90.00°
Space group C2/m (No. 12)
One atom of each set of equivalent atoms:
1 Th 0.234 0.166 0.203 x8
2 Th 0.236 0.500 0.203 x4
3 Te 0.000 0.167 0.500 x4
4 Te 0.000 0.500 0.500 x2
5 Ir 0.000 0.000 0.000 x2
6 Rh 0.000 0.333 0.000 x4

Properties
The total magnetization comes out at 0.00 μB/f.u. The calculation puts the uncorrected formation energy at -1.0746 eV/atom. For the calculated volume, the calculation gives 29.32 Å³/atom. The value obtained for the total energy is -180.8 eV per cell. The calculated density is 10.26 g/cm³.



(5)
# Th6Te3Ir2Rh

An optimized crystal structure of Th6Te3Ir2Rh (PBE, Alexandria via LeMat-Bulk).

a = 19.555 Å, b = 4.218 Å, c = 9.099 Å
α = 90.00°, β = 109.74°, γ = 90.00°
Space group C2/m (No. 12)
One atom of each set of equivalent atoms:
1 Th 0.012 0.000 0.226 x4
2 Th 0.156 0.500 0.109 x4
3 Th 0.178 0.500 0.558 x4
4 Te 0.000 0.500 0.500 x2
5 Te 0.167 0.000 0.833 x4
6 Ir 0.166 0.000 0.332 x4
7 Rh 0.000 0.500 0.000 x2

Properties
The total magnetization comes out at 0.00 μB/f.u. The calculation puts the uncorrected formation energy at -1.1069 eV/atom. For the calculated volume, the calculation gives 29.43 Å³/atom. The value obtained for the total energy is -184.6 eV per cell. The calculated density is 10.64 g/cm³.



(6)
# Th6TeIr3Rh2

An optimized crystal structure of Th6TeIr3Rh2 (PBE, Alexandria via LeMat-Bulk).

a = 18.231 Å, b = 4.129 Å, c = 8.639 Å
α = 90.00°, β = 103.65°, γ = 90.00°
Space group C2/m (No. 12)
One atom of each set of equivalent atoms:
1 Th 0.005 0.000 0.280 x4
2 Th 0.166 0.500 0.586 x4
3 Th 0.181 0.500 0.090 x4
4 Te 0.000 0.500 0.000 x2
5 Ir 0.000 0.500 0.500 x2
6 Ir 0.161 0.000 0.832 x4
7 Rh 0.170 0.000 0.337 x4

Properties
The total magnetization comes out at 0.00 μB/f.u. The calculation puts the uncorrected formation energy at -0.9184 eV/atom. For the calculated volume, the calculation gives 26.33 Å³/atom. The value obtained for the total energy is -199.9 eV per cell. The calculated density is 12.10 g/cm³.